## LiNd2Be (PBE)

Data for LiNd2Be after structural relaxation.

Magnetic moment   0.01 Bohr magnetons per cell
Formation energy   0.700 eV per formula unit
E above lowest polymorph   0.051 eV/atom
ρ   5218 kg/m3

Cell and atoms, written as CIF:
```
data_LiNd2Be
_chemical_formula_sum 'Li4 Nd8 Be4'
_space_group_name_H-M_alt 'F m -3 m'
_space_group_IT_number 225
_space_group_name_Hall '-F 4 2 3'
_cell_length_a 7.2907
_cell_length_b 7.2907
_cell_length_c 7.2907
_cell_angle_alpha 90.00
_cell_angle_beta 90.00
_cell_angle_gamma 90.00
loop_
_atom_site_label
_atom_site_type_symbol
_atom_site_fract_x
_atom_site_fract_y
_atom_site_fract_z
Li1 Li 0.0000 0.0000 0.0000
Nd1 Nd 0.2500 0.2500 0.2500
Be1 Be 0.0000 0.0000 0.5000
```

## ScMn2Al (PBE)

Data for ScMn2Al after structural relaxation.

Magnetic moment   4.32 Bohr magnetons per cell
Formation energy   -0.320 eV per formula unit
ρ   5014 kg/m3

Cell and atoms, written as CIF:
```
data_ScMn2Al
_chemical_formula_sum 'Sc1 Mn2 Al1'
_space_group_name_H-M_alt 'P m m m'
_space_group_IT_number 47
_space_group_name_Hall '-P 2 2'
_cell_length_a 2.9401
_cell_length_b 3.4179
_cell_length_c 5.9920
_cell_angle_alpha 90.00
_cell_angle_beta 90.00
_cell_angle_gamma 90.00
loop_
_atom_site_label
_atom_site_type_symbol
_atom_site_fract_x
_atom_site_fract_y
_atom_site_fract_z
Sc1 Sc 0.0000 0.0000 0.0000
Mn1 Mn 0.5000 0.5000 0.2791
Al1 Al 0.0000 0.0000 0.5000
```